# 1
Below is a geometry-optimized Re2PbI structure, with properties calculated at the PBE-GGA level.

a = 6.3124 Å, b = 6.3124 Å, c = 11.0860 Å
α = 90.00°, β = 90.00°, γ = 90.00°
Space group I-42d (No. 122)
One atom of each set of equivalent atoms:
Re  0.2283  0.2500  0.1250 [8 per cell]
Pb  0.0000  0.0000  0.5000 [4 per cell]
I  0.0000  0.0000  0.0000 [4 per cell]

Calculated values
The energy is -5.474 eV/atom. The value obtained for the density of states at the Fermi level is 28.74 states/eV/cell.

=====

# 2
Below is a geometry-optimized Re3PbI structure, with properties calculated at the PBE-GGA level.

a = 4.9048 Å, b = 4.9048 Å, c = 4.9048 Å
α = 90.00°, β = 90.00°, γ = 90.00°
Space group Pm-3m (No. 221)
One atom of each set of equivalent atoms:
Re  0.0000  0.0000  0.5000 [3 per cell]
Pb  0.5000  0.5000  0.5000 [1 per cell]
I  0.0000  0.0000  0.0000 [1 per cell]

Calculated values
The energy is -5.832 eV/atom. The value obtained for the density of states at the Fermi level is 5.61 states/eV/cell.

=====

# 3
Below is a geometry-optimized ReSb2PbI structure, with properties calculated at the PBE-GGA level.

a = 5.1248 Å, b = 5.1248 Å, c = 5.9209 Å
α = 90.00°, β = 90.00°, γ = 90.00°
Space group P4/mmm (No. 123)
One atom of each set of equivalent atoms:
Re  0.0000  0.0000  0.0000 [1 per cell]
Sb  0.0000  0.5000  0.0000 [2 per cell]
Pb  0.5000  0.5000  0.5000 [1 per cell]
I  0.0000  0.0000  0.5000 [1 per cell]

Calculated values
The energy is -4.594 eV/atom. The value obtained for the density of states at the Fermi level is 4.20 states/eV/cell.

=====

# 4
Below is a geometry-optimized ReSbPbI2 structure, with properties calculated at the PBE-GGA level.

a = 5.6033 Å, b = 5.6033 Å, c = 5.1260 Å
α = 90.00°, β = 90.00°, γ = 90.00°
Space group P4/mmm (No. 123)
One atom of each set of equivalent atoms:
Re  0.0000  0.0000  0.0000 [1 per cell]
Sb  0.0000  0.0000  0.5000 [1 per cell]
Pb  0.5000  0.5000  0.5000 [1 per cell]
I  0.0000  0.5000  0.0000 [2 per cell]

Calculated values
The energy is -3.979 eV/atom. The value obtained for the density of states at the Fermi level is 6.86 states/eV/cell.

=====

# 5
Below is a geometry-optimized RhPb3I structure, with properties calculated at the PBE-GGA level.

a = 5.3971 Å, b = 5.3971 Å, c = 5.3971 Å
α = 90.00°, β = 90.00°, γ = 90.00°
Space group Pm-3m (No. 221)
One atom of each set of equivalent atoms:
Rh  0.0000  0.0000  0.0000 [1 per cell]
Pb  0.0000  0.0000  0.5000 [3 per cell]
I  0.5000  0.5000  0.5000 [1 per cell]

Calculated values
The energy is -4.058 eV/atom. The value obtained for the density of states at the Fermi level is 4.77 states/eV/cell.

=====

# 6
Below is a geometry-optimized RhPbI structure, with properties calculated at the PBE-GGA level.

a = 8.6448 Å, b = 6.9163 Å, c = 5.8994 Å
α = 90.00°, β = 109.81°, γ = 90.00°
Space group P2_1/c (No. 14)
One atom of each set of equivalent atoms:
Rh  0.1236  0.2499  0.3114 [4 per cell]
Pb  0.1612  0.6258  0.0796 [4 per cell]
I  0.3519  0.0708  0.1747 [4 per cell]

Calculated values
The energy is -4.181 eV/atom. The value obtained for the density of states at the Fermi level is 10.82 states/eV/cell.

=====

# 7
Below is a geometry-optimized Ru2RhPbI structure, with properties calculated at the PBE-GGA level.

a = 4.9108 Å, b = 4.9108 Å, c = 4.8772 Å
α = 90.00°, β = 90.00°, γ = 90.00°
Space group P4/mmm (No. 123)
One atom of each set of equivalent atoms:
Ru  0.0000  0.5000  0.0000 [2 per cell]
Rh  0.0000  0.0000  0.5000 [1 per cell]
Pb  0.5000  0.5000  0.5000 [1 per cell]
I  0.0000  0.0000  0.0000 [1 per cell]

Calculated values
The energy is -4.910 eV/atom. The value obtained for the density of states at the Fermi level is 6.56 states/eV/cell.

=====

# 8
Below is a geometry-optimized Ru2RhPbI structure, with properties calculated at the PBE-GGA level.

a = 4.7862 Å, b = 4.7862 Å, c = 5.8708 Å
α = 90.00°, β = 90.00°, γ = 90.00°
Space group P4/mmm (No. 123)
One atom of each set of equivalent atoms:
Ru  0.0000  0.5000  0.0000 [2 per cell]
Rh  0.0000  0.0000  0.5000 [1 per cell]
Pb  0.5000  0.5000  0.5000 [1 per cell]
I  0.5000  0.5000  0.0000 [1 per cell]

Calculated values
The energy is -4.313 eV/atom. The value obtained for the density of states at the Fermi level is 8.25 states/eV/cell.

=====

# 9
Below is a geometry-optimized Sb2RhPbI structure, with properties calculated at the PBE-GGA level.

a = 5.1318 Å, b = 5.1318 Å, c = 5.7377 Å
α = 90.00°, β = 90.00°, γ = 90.00°
Space group P4/mmm (No. 123)
One atom of each set of equivalent atoms:
Sb  0.0000  0.5000  0.0000 [2 per cell]
Rh  0.0000  0.0000  0.0000 [1 per cell]
Pb  0.5000  0.5000  0.5000 [1 per cell]
I  0.0000  0.0000  0.5000 [1 per cell]

Calculated values
The energy is -3.961 eV/atom. The value obtained for the density of states at the Fermi level is 4.61 states/eV/cell.

=====

# 10
Below is a geometry-optimized Sb2RhPbI structure, with properties calculated at the PBE-GGA level.

a = 5.7829 Å, b = 5.7829 Å, c = 6.0154 Å
α = 90.00°, β = 90.00°, γ = 90.00°
Space group P4/mmm (No. 123)
One atom of each set of equivalent atoms:
Sb  0.0000  0.5000  0.0000 [2 per cell]
Rh  0.0000  0.0000  0.5000 [1 per cell]
Pb  0.5000  0.5000  0.0000 [1 per cell]
I  0.5000  0.5000  0.5000 [1 per cell]

Calculated values
The energy is -2.805 eV/atom. The value obtained for the density of states at the Fermi level is 9.42 states/eV/cell.

=====

# 11
Below is a geometry-optimized TeRhPbI2 structure, with properties calculated at the PBE-GGA level.

a = 6.1338 Å, b = 6.1338 Å, c = 5.9809 Å
α = 90.00°, β = 90.00°, γ = 90.00°
Space group P4/mmm (No. 123)
One atom of each set of equivalent atoms:
Te  0.0000  0.0000  0.0000 [1 per cell]
Rh  0.5000  0.5000  0.0000 [1 per cell]
Pb  0.0000  0.0000  0.5000 [1 per cell]
I  0.0000  0.5000  0.5000 [2 per cell]

Calculated values
The energy is -2.602 eV/atom. The value obtained for the density of states at the Fermi level is 7.99 states/eV/cell.

=====

# 12
Below is a geometry-optimized TeRhPbI2 structure, with properties calculated at the PBE-GGA level.

a = 5.3761 Å, b = 5.3761 Å, c = 5.4038 Å
α = 90.00°, β = 90.00°, γ = 90.00°
Space group P4/mmm (No. 123)
One atom of each set of equivalent atoms:
Te  0.0000  0.0000  0.0000 [1 per cell]
Rh  0.0000  0.0000  0.5000 [1 per cell]
Pb  0.5000  0.5000  0.0000 [1 per cell]
I  0.0000  0.5000  0.5000 [2 per cell]

Calculated values
The energy is -3.447 eV/atom. The value obtained for the density of states at the Fermi level is 2.36 states/eV/cell.

=====

Number 1: raw formation energy 2.0644 eV/atom. Number 2: raw formation energy 2.6889 eV/atom. Number 3: raw formation energy 0.5966 eV/atom. Number 4: raw formation energy 0.6968 eV/atom. Number 5: raw formation energy -0.0523 eV/atom. Number 6: raw formation energy 0.0228 eV/atom. Number 7: raw formation energy 1.3225 eV/atom. Number 8: raw formation energy 1.9197 eV/atom. Number 9: raw formation energy 0.2097 eV/atom. Number 10: raw formation energy 1.3656 eV/atom. Number 11: raw formation energy 0.8587 eV/atom. Number 12: raw formation energy 0.0137 eV/atom.